The following is a DFT calculation (PBE-GGA) of a relaxed GeAsAu2 crystal.

Results
Polymorph energy (0 for the lowest one)   6.1 kJ/mol of atoms
Density of states at the Fermi level   3.9 states/eV/cell
Theoretical density   11.4 g/cm3
Energy of formation from the pure elements   168 meV/atom
Calculated volume   19.7 Å³ per atom

Lattice parameters (Å, degrees): 7.459 7.459 5.987 51.47 51.47 90.00
Fractional coordinates of all 8 atoms:
As (0.000, 0.000, 0.000)
As (0.750, 0.250, 0.500)
Au (0.875, 0.876, 0.750)
Au (0.375, 0.374, 0.750)
Au (0.124, 0.625, 0.250)
Au (0.626, 0.125, 0.250)
Ge (0.250, 0.750, 0.500)
Ge (0.500, 0.500, 0.000)


The following is a DFT calculation (PBE-GGA) of a relaxed Ge3AsAu crystal.

Results
Polymorph energy (0 for the lowest one)   9.3 kJ/mol of atoms
Density of states at the Fermi level   3.3 states/eV/cell
Theoretical density   6.6 g/cm3
Energy of formation from the pure elements   792 meV/atom
Calculated volume   24.8 Å³ per atom

Lattice parameters (Å, degrees): 4.988 4.988 4.988 90.00 90.00 90.00
Fractional coordinates of all 5 atoms:
Ge (0.000, 0.500, 0.000)
Ge (0.500, 0.000, 0.000)
Ge (0.000, 0.000, 0.500)
Au (0.500, 0.500, 0.500)
As (0.000, 0.000, 0.000)


The following is a DFT calculation (PBE-GGA) of a relaxed Ge2As2Au crystal.

Results
Polymorph energy (0 for the lowest one)   0.0 kJ/mol of atoms
Density of states at the Fermi level   2.8 states/eV/cell
Theoretical density   6.7 g/cm3
Energy of formation from the pure elements   50 meV/atom
Calculated volume   24.3 Å³ per atom

Lattice parameters (Å, degrees): 3.817 6.682 10.971 62.15 100.02 90.00
Fractional coordinates of all 10 atoms:
Ge (0.873, 0.139, 0.745)
Ge (0.374, 0.638, 0.749)
Ge (0.626, 0.362, 0.251)
Ge (0.127, 0.861, 0.255)
As (0.066, 0.287, 0.132)
As (0.934, 0.713, 0.868)
As (0.562, 0.803, 0.125)
As (0.438, 0.197, 0.875)
Au (0.257, 0.657, 0.515)
Au (0.743, 0.343, 0.485)


The following is a DFT calculation (PBE-GGA) of a relaxed Ge2As2Au crystal.

Results
Polymorph energy (0 for the lowest one)   23.9 kJ/mol of atoms
Density of states at the Fermi level   2.4 states/eV/cell
Theoretical density   7.9 g/cm3
Energy of formation from the pure elements   298 meV/atom
Calculated volume   20.6 Å³ per atom

Lattice parameters (Å, degrees): 3.726 3.726 7.866 76.30 76.30 90.00
Fractional coordinates of all 5 atoms:
Ge (0.407, 0.407, 0.186)
Ge (0.593, 0.593, 0.814)
Au (0.000, 0.000, 0.000)
As (0.250, 0.750, 0.500)
As (0.750, 0.250, 0.500)


The following is a DFT calculation (PBE-GGA) of a relaxed Ge2As2Au crystal.

Results
Polymorph energy (0 for the lowest one)   28.2 kJ/mol of atoms
Density of states at the Fermi level   5.0 states/eV/cell
Theoretical density   8.3 g/cm3
Energy of formation from the pure elements   343 meV/atom
Calculated volume   19.7 Å³ per atom

Lattice parameters (Å, degrees): 7.524 7.524 3.477 90.00 90.00 90.00
Fractional coordinates of all 10 atoms:
Ge (0.653, 0.153, 0.000)
Ge (0.347, 0.847, 0.000)
Ge (0.847, 0.653, 0.000)
Ge (0.153, 0.347, 0.000)
As (0.651, 0.849, 0.500)
As (0.151, 0.651, 0.500)
As (0.849, 0.349, 0.500)
As (0.349, 0.151, 0.500)
Au (0.500, 0.500, 0.000)
Au (0.000, 0.000, 0.000)


The following is a DFT calculation (PBE-GGA) of a relaxed Ge2AsAu2 crystal.

Results
Polymorph energy (0 for the lowest one)   0.0 kJ/mol of atoms
Density of states at the Fermi level   3.4 states/eV/cell
Theoretical density   10.4 g/cm3
Energy of formation from the pure elements   194 meV/atom
Calculated volume   19.5 Å³ per atom

Lattice parameters (Å, degrees): 7.935 7.935 3.105 90.00 90.00 90.00
Fractional coordinates of all 10 atoms:
As (0.000, 0.000, 0.000)
As (0.500, 0.500, 0.000)
Au (0.668, 0.168, 0.000)
Au (0.832, 0.668, 0.000)
Au (0.332, 0.832, 0.000)
Au (0.168, 0.332, 0.000)
Ge (0.633, 0.867, 0.500)
Ge (0.867, 0.367, 0.500)
Ge (0.133, 0.633, 0.500)
Ge (0.367, 0.133, 0.500)


The following is a DFT calculation (PBE-GGA) of a relaxed Ge2AsAu crystal.

Results
Density of states at the Fermi level   0.4 states/eV/cell
Theoretical density   7.0 g/cm3
Energy of formation from the pure elements   55 meV/atom
Calculated volume   24.9 Å³ per atom

Lattice parameters (Å, degrees): 6.040 6.040 6.930 64.17 64.17 90.00
Fractional coordinates of all 8 atoms:
Ge (0.875, 0.876, 0.750)
Ge (0.626, 0.125, 0.250)
Ge (0.375, 0.374, 0.750)
Ge (0.124, 0.625, 0.250)
As (0.250, 0.750, 0.500)
As (0.500, 0.500, 0.000)
Au (0.750, 0.250, 0.500)
Au (0.000, 0.000, 0.000)


The following is a DFT calculation (PBE-GGA) of a relaxed Ge2AsAu2 crystal.

Results
Polymorph energy (0 for the lowest one)   6.5 kJ/mol of atoms
Density of states at the Fermi level   6.7 states/eV/cell
Theoretical density   10.3 g/cm3
Energy of formation from the pure elements   261 meV/atom
Calculated volume   19.8 Å³ per atom

Lattice parameters (Å, degrees): 7.991 7.991 3.109 90.00 90.00 90.00
Fractional coordinates of all 10 atoms:
Au (0.878, 0.378, 0.500)
Au (0.622, 0.878, 0.500)
Au (0.122, 0.622, 0.500)
Au (0.378, 0.122, 0.500)
As (0.000, 0.000, 0.000)
As (0.500, 0.500, 0.000)
Ge (0.816, 0.684, 0.000)
Ge (0.684, 0.184, 0.000)
Ge (0.316, 0.816, 0.000)
Ge (0.184, 0.316, 0.000)


The following is a DFT calculation (PBE-GGA) of a relaxed Ge2As2Au crystal.

Results
Polymorph energy (0 for the lowest one)   20.7 kJ/mol of atoms
Density of states at the Fermi level   3.7 states/eV/cell
Theoretical density   7.8 g/cm3
Energy of formation from the pure elements   265 meV/atom
Calculated volume   20.9 Å³ per atom

Lattice parameters (Å, degrees): 7.463 7.463 3.749 90.00 90.00 90.00
Fractional coordinates of all 10 atoms:
Ge (0.644, 0.856, 0.500)
Ge (0.144, 0.644, 0.500)
Ge (0.856, 0.356, 0.500)
Ge (0.356, 0.144, 0.500)
As (0.185, 0.315, 0.000)
As (0.685, 0.185, 0.000)
As (0.315, 0.815, 0.000)
As (0.815, 0.685, 0.000)
Au (0.500, 0.500, 0.000)
Au (0.000, 0.000, 0.000)


The following is a DFT calculation (PBE-GGA) of a relaxed GeAsAu2 crystal.

Results
Polymorph energy (0 for the lowest one)   0.2 kJ/mol of atoms
Density of states at the Fermi level   1.4 states/eV/cell
Theoretical density   10.9 g/cm3
Energy of formation from the pure elements   107 meV/atom
Calculated volume   20.7 Å³ per atom

Lattice parameters (Å, degrees): 4.058 4.058 6.251 71.06 71.06 60.00
Fractional coordinates of all 4 atoms:
As (0.668, 0.668, 0.997)
Au (0.083, 0.083, 0.750)
Au (0.250, 0.250, 0.251)
Ge (0.499, 0.499, 0.502)


The following is a DFT calculation (PBE-GGA) of a relaxed Ge3AsAu crystal.

Results
Polymorph energy (0 for the lowest one)   0.0 kJ/mol of atoms
Density of states at the Fermi level   3.4 states/eV/cell
Theoretical density   6.5 g/cm3
Energy of formation from the pure elements   696 meV/atom
Calculated volume   25.1 Å³ per atom

Lattice parameters (Å, degrees): 5.005 5.005 5.005 90.00 90.00 90.00
Fractional coordinates of all 5 atoms:
Ge (0.000, 0.000, 0.500)
Ge (0.500, 0.000, 0.000)
Ge (0.000, 0.500, 0.000)
Au (0.000, 0.000, 0.000)
As (0.500, 0.500, 0.500)


The following is a DFT calculation (PBE-GGA) of a relaxed Ge2AsAu crystal.

Results
Density of states at the Fermi level   1.9 states/eV/cell
Theoretical density   7.5 g/cm3
Energy of formation from the pure elements   256 meV/atom
Calculated volume   23.1 Å³ per atom

Lattice parameters (Å, degrees): 3.639 3.639 8.334 77.39 77.39 60.00
Fractional coordinates of all 4 atoms:
Ge (0.898, 0.898, 0.305)
Ge (0.102, 0.102, 0.695)
Au (0.000, 0.000, 0.000)
As (0.500, 0.500, 0.500)


The following is a DFT calculation (PBE-GGA) of a relaxed GeAsAu2 crystal.

Results
Polymorph energy (0 for the lowest one)   0.0 kJ/mol of atoms
Density of states at the Fermi level   2.5 states/eV/cell
Theoretical density   11.2 g/cm3
Energy of formation from the pure elements   106 meV/atom
Calculated volume   20.1 Å³ per atom

Lattice parameters (Å, degrees): 3.915 3.915 6.472 72.39 72.39 60.00
Fractional coordinates of all 4 atoms:
Au (0.749, 0.749, 0.752)
Au (0.251, 0.251, 0.248)
As (0.500, 0.500, 0.500)
Ge (0.000, 0.000, 0.000)


| no. | E (eV/atom) | total moment (Bohr magnetons per cell) |
| --- | --- | --- |
| 1 | -3.787 | 0.000 |
| 2 | -3.564 | 0.000 |
| 3 | -4.312 | 0.000 |
| 4 | -4.065 | 0.000 |
| 5 | -4.020 | 0.000 |
| 6 | -3.894 | 0.000 |
| 7 | -4.236 | 0.000 |
| 8 | -3.827 | 0.000 |
| 9 | -4.098 | 0.000 |
| 10 | -3.848 | 0.000 |
| 11 | -3.660 | 0.000 |
| 12 | -4.034 | 0.000 |
| 13 | -3.850 | 0.000 |